1.
VASP calculation (PBE) on a geometry-optimized LiAc2AlPd6 structure.

abc: 8.3039 5.6402 6.6749
angles: 65.02 52.36 90.02
Element x y z (fractional)
Ac  0.2089  0.7457  0.5087
Li  0.0000  0.0000  0.0000
Pd  0.4036  0.2505  0.5001
Pd  0.5964  0.7495  0.4999
Pd  0.2541  0.7526  0.0030
Pd  0.2535  0.2443  0.0038
Ac  0.7911  0.2543  0.4913
Pd  0.7465  0.7557  0.9962
Pd  0.7459  0.2474  0.9970
Al  0.5000  0.5000  0.0000

Output
DFT formation energy, meV per atom: -707.5

***

2.
VASP calculation (PBE) on a geometry-optimized LiAcAlPd structure.

abc: 4.4901 4.4901 6.0302
angles: 68.14 68.14 60.00
Element x y z (fractional)
Al  0.6073  0.6073  0.1780
Pd  0.9903  0.9903  0.0292
Ac  0.8057  0.8057  0.5828
Li  0.3225  0.3225  0.0324

Output
E above lowest polymorph, eV/atom: 0.0000
DFT formation energy, meV per atom: -486.8

***

3.
VASP calculation (PBE) on a geometry-optimized LiAc2Al12Pt3 structure.

abc: 7.9720 7.9720 7.9720
angles: 70.38 70.38 70.38
Element x y z (fractional)
Al  0.8692  0.2610  0.2610
Al  0.7390  0.7390  0.1308
Al  0.8721  0.8721  0.3462
Pt  0.0000  0.0000  0.5000
Al  0.6538  0.1279  0.1279
Ac  0.6046  0.6046  0.6046
Al  0.8721  0.3462  0.8721
Al  0.2610  0.8692  0.2610
Al  0.3462  0.8721  0.8721
Li  0.0000  0.0000  0.0000
Al  0.1279  0.6538  0.1279
Al  0.1308  0.7390  0.7390
Pt  0.5000  0.0000  0.0000
Al  0.1279  0.1279  0.6538
Ac  0.3955  0.3955  0.3955
Al  0.2610  0.2610  0.8692
Pt  0.0000  0.5000  0.0000
Al  0.7390  0.1308  0.7390

Output
DFT formation energy, meV per atom: -164.8

***

4.
VASP calculation (PBE) on a geometry-optimized LiAcAlPt structure.

abc: 4.4034 4.4034 6.2646
angles: 69.42 69.42 60.00
Element x y z (fractional)
Pt  0.2724  0.2724  0.1827
Li  0.0092  0.0092  0.9723
Al  0.6207  0.6207  0.1380
Ac  0.8235  0.8235  0.5294

Output
E above lowest polymorph, eV/atom: 0.0000
DFT formation energy, meV per atom: -636.2